## Cr2AgF (PBE with a Hubbard U)

Data for a geometry-optimized Cr2AgF structure.

Cell and atoms, written as POSCAR:
```
Cr2AgF
1.0
0.000 3.265 3.265
3.265 0.000 3.265
3.265 3.265 0.000
Cr Ag F
2 1 1
direct
0.250 0.250 0.250
0.750 0.750 0.750
0.000 0.000 0.000
0.500 0.500 0.500
```

Properties
Mass density: 5.5 g/cm3
Energy above the lowest structure with this stoichiometry: 0.164 eV per atom
E_tot: -5.049 eV per atom
Fermi-level density of states: 0.5 states/eV/f.u.